The following is a DFT calculation (PBE with a Hubbard U) of a relaxed PmTl2Cr3F12 crystal.

extended XYZ file:
```
18
Lattice="3.9666 2.2901 5.3178 -3.9666 2.2901 5.3178 0.0000 -4.5802 5.3178" Properties=species:S:1:pos:R:3 pbc="T T T"
Pm 0.0000 0.0000 0.0000
Tl 0.0000 0.0000 6.1397
Tl 0.0000 0.0000 9.8137
Cr -3.9666 0.0000 7.9767
Cr -1.9833 1.1450 2.6589
Cr 1.9833 1.1451 2.6589
F -2.6071 -1.5052 8.3869
F 0.0000 -2.1878 4.6407
F -1.8947 1.0939 4.6407
F 0.0000 -3.0104 7.5666
F -2.6071 1.5052 7.5666
F -1.8947 -1.0939 11.3128
F 1.8947 1.0939 4.6407
F 2.6071 -1.5052 8.3869
F 0.0000 3.0105 8.3869
F 1.8947 -1.0939 11.3127
F 0.0000 2.1878 11.3127
F 2.6071 1.5052 7.5666
```

## Properties
Symmetry: R-3m (166)
Electronic total energy, hartree per atom: -0.2120
Total magnetization, μB/cell: 11.0